No. 1
Computed, not measured: MgBi2Pt2 after structural relaxation at the PBE level of DFT.

Computed properties:
N(E_F) ... 2.19 states/eV/f.u.
Magnetization ... 0.00 μB per cell
Energy above the most stable polymorph in this dataset ... 218 meV/atom
Energy of formation ... -0.08 eV per atom

Lattice parameters (Å, degrees): 3.934 3.934 8.376 76.42 76.42 90.00
Fractional positions:
1 Mg 0.000 0.000 0.000
2 Bi 0.380 0.380 0.241
3 Bi 0.620 0.620 0.759
4 Pt 0.750 0.250 0.500
5 Pt 0.250 0.750 0.500

=====

No. 2
Computed, not measured: Mg2BiPt after structural relaxation at the PBE level of DFT.

Computed properties:
N(E_F) ... 1.66 states/eV/f.u.
Magnetization ... 0.00 μB per cell
Energy of formation ... -0.49 eV per atom

Lattice parameters (Å, degrees): 3.275 3.275 8.016 90.00 90.00 90.00
Fractional positions:
1 Mg 0.000 0.000 0.813
2 Mg 0.000 0.000 0.187
3 Bi 0.500 0.500 0.500
4 Pt 0.500 0.500 0.000

=====

No. 3
Computed, not measured: MgBiPt4 after structural relaxation at the PBE level of DFT.

Computed properties:
N(E_F) ... 5.94 states/eV/f.u.
Magnetization ... 0.00 μB per cell
Energy of formation ... -0.33 eV per atom

Lattice parameters (Å, degrees): 5.405 5.405 5.405 60.00 60.00 60.00
Fractional positions:
1 Mg 0.000 0.000 0.000
2 Bi 0.250 0.250 0.250
3 Pt 0.625 0.625 0.124
4 Pt 0.625 0.124 0.625
5 Pt 0.625 0.625 0.625
6 Pt 0.124 0.625 0.625

=====

No. 4
Computed, not measured: Mg2BiPt2 after structural relaxation at the PBE level of DFT.

Computed properties:
N(E_F) ... 1.74 states/eV/f.u.
Magnetization ... 0.00 μB per cell
Energy above the most stable polymorph in this dataset ... 0 meV/atom
Energy of formation ... -0.58 eV per atom

Lattice parameters (Å, degrees): 7.892 7.892 3.059 90.00 90.00 90.00
Fractional positions:
1 Mg 0.141 0.641 0.500
2 Mg 0.641 0.859 0.500
3 Mg 0.859 0.359 0.500
4 Mg 0.359 0.141 0.500
5 Bi 0.000 0.000 0.000
6 Bi 0.500 0.500 0.000
7 Pt 0.349 0.849 0.000
8 Pt 0.849 0.651 0.000
9 Pt 0.651 0.151 0.000
10 Pt 0.151 0.349 0.000

=====

No. 5
Computed, not measured: MgBi2Pt2 after structural relaxation at the PBE level of DFT.

Computed properties:
N(E_F) ... 2.42 states/eV/f.u.
Magnetization ... 0.00 μB per cell
Energy above the most stable polymorph in this dataset ... 0 meV/atom
Energy of formation ... -0.29 eV per atom

Lattice parameters (Å, degrees): 7.316 7.316 4.157 90.00 90.00 90.00
Fractional positions:
1 Mg 0.000 0.000 0.000
2 Mg 0.500 0.500 0.000
3 Bi 0.168 0.668 0.500
4 Bi 0.668 0.832 0.500
5 Bi 0.832 0.332 0.500
6 Bi 0.332 0.168 0.500
7 Pt 0.361 0.861 0.000
8 Pt 0.861 0.639 0.000
9 Pt 0.639 0.139 0.000
10 Pt 0.139 0.361 0.000

=====

No. 6
Computed, not measured: Mg2BiPt2 after structural relaxation at the PBE level of DFT.

Computed properties:
N(E_F) ... 2.33 states/eV/f.u.
Magnetization ... 0.00 μB per cell
Energy above the most stable polymorph in this dataset ... 152 meV/atom
Energy of formation ... -0.43 eV per atom

Lattice parameters (Å, degrees): 4.077 4.077 6.788 72.52 72.52 90.00
Fractional positions:
1 Mg 0.750 0.250 0.500
2 Mg 0.250 0.750 0.500
3 Bi 0.000 0.000 0.000
4 Pt 0.390 0.390 0.220
5 Pt 0.610 0.610 0.780